AgOsSe2 | PBE | relaxed

Output
- distance to the lowest polymorph of the same formula (meV/atom) = 368
- spin magnetization (μB per formula unit) = 0.00
- energy relative to the elements, uncorrected (eV/atom) = 0.474

a b c (Å): 3.055 4.035 5.923
angles (deg): 90.00 90.00 90.00
Space group Pmm2 (No. 25)
Inequivalent atoms, fractional coordinates:
Ag: 0.000 0.000 0.000
Os: 0.500 0.500 0.346
Se: 0.000 0.000 0.449
Se: 0.500 0.500 0.768

AgOs2Se | PBE | relaxed

Output
- spin magnetization (μB per formula unit) = 0.00
- energy relative to the elements, uncorrected (eV/atom) = 0.906

a b c (Å): 2.963 4.097 5.434
angles (deg): 90.00 105.00 90.00
Space group P2/m (No. 10)
Inequivalent atoms, fractional coordinates:
Ag: 0.000 0.000 0.000
Os: 0.365 0.500 0.727
Se: 0.500 0.000 0.500

AgOsSe2 | PBE | relaxed

Output
- distance to the lowest polymorph of the same formula (meV/atom) = 989
- spin magnetization (μB per formula unit) = 0.96
- energy relative to the elements, uncorrected (eV/atom) = 1.094

a b c (Å): 6.593 6.593 6.593
angles (deg): 90.00 90.00 90.00
Space group F-43m (No. 216)
Inequivalent atoms, fractional coordinates:
Ag: 0.000 0.000 0.000
Os: 0.250 0.250 0.250
Se: 0.000 0.000 0.500
Se: 0.250 0.250 0.750

AgOsSe2 | PBE | relaxed

Output
- distance to the lowest polymorph of the same formula (meV/atom) = 769
- spin magnetization (μB per formula unit) = 1.06
- energy relative to the elements, uncorrected (eV/atom) = 0.875

a b c (Å): 3.017 4.131 6.949
angles (deg): 90.00 90.00 90.00
Space group Pmmm (No. 47)
Inequivalent atoms, fractional coordinates:
Ag: 0.000 0.000 0.000
Os: 0.500 0.000 0.500
Se: 0.000 0.500 0.500
Se: 0.500 0.500 0.000

AgOs2Se | PBE | relaxed

Output
- spin magnetization (μB per formula unit) = 0.00
- energy relative to the elements, uncorrected (eV/atom) = 0.690

a b c (Å): 10.182 2.875 5.282
angles (deg): 90.00 116.54 90.00
Space group Cm (No. 8)
Inequivalent atoms, fractional coordinates:
Ag: 0.000 0.000 0.000
Os: 0.028 0.500 0.549
Os: 0.246 0.000 0.581
Se: 0.306 0.500 0.263

AgOs2Se | PBE | relaxed

Output
- spin magnetization (μB per formula unit) = 0.00
- energy relative to the elements, uncorrected (eV/atom) = 0.927

a b c (Å): 3.018 3.018 6.817
angles (deg): 90.00 90.00 90.00
Space group P4/mmm (No. 123)
Inequivalent atoms, fractional coordinates:
Ag: 0.000 0.000 0.000
Os: 0.500 0.500 0.282
Se: 0.000 0.000 0.500

AgOsSe2 | PBE | relaxed

Output
- distance to the lowest polymorph of the same formula (meV/atom) = 264
- spin magnetization (μB per formula unit) = 0.00
- energy relative to the elements, uncorrected (eV/atom) = 0.370

a b c (Å): 3.0739 3.0739 28.8542
angles (deg): 90.00 90.00 120.00
Space group R3m (No. 160, hexagonal axes)
Inequivalent atoms, fractional coordinates:
Ag: 0.0000 0.0000 0.0000
Os: 0.0000 0.0000 0.2528
Se: 0.0000 0.0000 0.5292
Se: 0.0000 0.0000 0.7463

AgOsSe2 | PBE | relaxed

Output
- distance to the lowest polymorph of the same formula (meV/atom) = 196
- spin magnetization (μB per formula unit) = 0.00
- energy relative to the elements, uncorrected (eV/atom) = 0.302

a b c (Å): 2.974 2.974 8.979
angles (deg): 90.00 90.00 90.00
Space group P4mm (No. 99)
Inequivalent atoms, fractional coordinates:
Ag: 0.000 0.000 0.000
Os: 0.500 0.500 0.237
Se: 0.000 0.000 0.386
Se: 0.500 0.500 0.761

AgOs2Se | PBE | relaxed

Output
- spin magnetization (μB per formula unit) = 0.00
- energy relative to the elements, uncorrected (eV/atom) = 0.455

a b c (Å): 2.859 2.859 8.302
angles (deg): 90.00 90.00 90.00
Space group P4mm (No. 99)
Inequivalent atoms, fractional coordinates:
Ag: 0.000 0.000 0.000
Os: 0.000 0.000 0.453
Os: 0.500 0.500 0.255
Se: 0.500 0.500 0.680

AgOs2Se | PBE | relaxed

Output
- spin magnetization (μB per formula unit) = 0.00
- energy relative to the elements, uncorrected (eV/atom) = 0.987

a b c (Å): 5.520 9.912 2.724
angles (deg): 90.00 118.78 90.00
Space group C2/m (No. 12)
Inequivalent atoms, fractional coordinates:
Ag: 0.000 0.000 0.000
Os: 0.250 0.250 0.000
Se: 0.000 0.500 0.000

AgOsSe2 | PBE | relaxed

Output
- distance to the lowest polymorph of the same formula (meV/atom) = 0
- spin magnetization (μB per formula unit) = 0.00
- energy relative to the elements, uncorrected (eV/atom) = 0.106

a b c (Å): 6.949 3.206 8.278
angles (deg): 90.00 108.28 90.00
Space group C2/m (No. 12)
Inequivalent atoms, fractional coordinates:
Ag: 0.000 0.000 0.000
Os: 0.000 0.500 0.500
Se: 0.134 0.000 0.326

AgOs2Se | PBE | relaxed

Output
- spin magnetization (μB per formula unit) = 0.00
- energy relative to the elements, uncorrected (eV/atom) = 0.994

a b c (Å): 4.264 4.264 7.045
angles (deg): 90.00 90.00 90.00
Space group I-4m2 (No. 119)
Inequivalent atoms, fractional coordinates:
Ag: 0.000 0.000 0.000
Os: 0.000 0.000 0.500
Os: 0.000 0.500 0.750
Se: 0.000 0.500 0.250